No. 1
3
Lattice="3.136 0.000 0.000 -1.568 4.768 -0.008 0.000 1.036 2.960" Properties=species:S:1:pos:R:3 comment="PBE FeW2, optimized geometry" crystal_system=tetragonal volume_a3_per_cell=44 de_polymorph_ev_per_atom=0.1422 formation_enthalpy_0k_ev_per_atom=0.21 pbc="T T T"
Fe 0.000 0.000 0.000
W 1.568 1.906 0.994
W 0.000 3.898 1.958

No. 2
4
Lattice="-2.616 -0.804 -1.032 0.294 -2.609 1.288 -2.563 2.109 4.856" Properties=species:S:1:pos:R:3 comment="PBE Fe3W, optimized geometry" crystal_system=tetragonal volume_a3_per_cell=50 formation_enthalpy_0k_ev_per_atom=0.05 pbc="T T T"
W -3.083 -0.125 3.770
Fe -1.802 -1.180 1.342
Fe -1.243 1.023 2.355
Fe -0.039 0.032 0.073